A plane-wave DFT calculation with PBE was carried out for an optimized crystal structure of HfNbRu2.

It has space group Fm-3m (No. 225), with a = 6.424 Å, b = 6.424 Å, c = 6.424 Å, α = 90.00°, β = 90.00° and γ = 90.00°. Symmetry generates all atoms from Hf at (0.000, 0.000, 0.000), Nb at (0.000, 0.000, 0.500) and Ru at (0.250, 0.250, 0.250).

The value obtained for the formation energy is -0.486 eV/atom. The value obtained for the density of states at the Fermi level is 4.86 states/eV/f.u.